(1)
Material: NdCdAu
Method: DFT, PBEsol
State: optimized geometry

The value obtained for the density is 10.83 g/cm3. Its space group is P-62m, No. 189. Its formation energy is -64 kJ per mole of atoms.

Lattice parameters (Å, degrees): 7.7600 7.7600 4.0017 90.00 90.00 120.00
Last column: nearest neighbours and their distance in Å.
Element x y z (fractional)
Nd1 0.0000 0.5956 0.0000  5 Au 3.09-3.14, 6 Cd 3.31-3.40
Nd2 0.4044 0.4044 0.0000  5 Au 3.09-3.14, 6 Cd 3.31-3.40
Nd3 0.5956 0.0000 0.0000  5 Au 3.09-3.14, 6 Cd 3.31-3.40
Cd1 0.0000 0.2564 0.5000  4 Au 2.82-2.93
Cd2 0.2564 0.0000 0.5000  4 Au 2.82-2.93
Cd3 0.7436 0.7436 0.5000  4 Au 2.82-2.93
Au1 0.0000 0.0000 0.0000  6 Cd 2.82, 3 Nd 3.14
Au2 0.3333 0.6667 0.5000  3 Cd 2.93, 6 Nd 3.09
Au3 0.6667 0.3333 0.5000  3 Cd 2.93, 6 Nd 3.09

(2)
Material: Cd2NiAu
Method: DFT, PBEsol
State: optimized geometry

The value obtained for the density is 12.20 g/cm3. Its energy relative to the lowest polymorph listed for this composition is 2.6 meV per atom. Its space group is I4/mmm, No. 139. Its formation energy is -4 kJ per mole of atoms.

Lattice parameters (Å, degrees): 4.8543 4.8543 4.8543 130.06 130.06 73.32
Last column: nearest neighbours and their distance in Å.
Element x y z (fractional)
Cd1 0.2500 0.7500 0.5000  4 Au 2.83, 4 Ni 2.83, 4 Cd 2.90
Cd2 0.7500 0.2500 0.5000  4 Au 2.83, 4 Ni 2.83, 4 Cd 2.90
Ni1 0.0000 0.0000 0.0000  8 Cd 2.83, 4 Au 2.90
Au1 0.5000 0.5000 0.0000  8 Cd 2.83, 4 Ni 2.90

(3)
Material: Cd2NiAu
Method: DFT, PBEsol
State: optimized geometry

The value obtained for the density is 12.18 g/cm3. Its energy relative to the lowest polymorph listed for this composition is 0.0 meV per atom. Its space group is P4/mmm, No. 123. Its formation energy is -4 kJ per mole of atoms.

Lattice parameters (Å, degrees): 4.0855 4.0855 3.9231 90.00 90.00 90.00
Last column: nearest neighbours and their distance in Å.
Element x y z (fractional)
Cd1 0.0000 0.5000 0.0000  4 Ni 2.83, 4 Au 2.83, 4 Cd 2.89
Cd2 0.5000 0.0000 0.0000  4 Ni 2.83, 4 Au 2.83, 4 Cd 2.89
Ni1 0.0000 0.0000 0.5000  8 Cd 2.83, 4 Au 2.89
Au1 0.5000 0.5000 0.5000  8 Cd 2.83, 4 Ni 2.89

(4)
Material: CdNi3Au
Method: DFT, PBEsol
State: optimized geometry

The value obtained for the density is 8.34 g/cm3. Its space group is Pm-3m, No. 221. Its formation energy is 116 kJ per mole of atoms.

Lattice parameters (Å, degrees): 4.5895 4.5895 4.5895 90.00 90.00 90.00
Last column: nearest neighbours and their distance in Å.
Element x y z (fractional)
Cd1 0.0000 0.0000 0.0000  12 Ni 3.25
Ni1 0.0000 0.5000 0.5000  2 Au 2.29
Ni2 0.5000 0.0000 0.5000  2 Au 2.29
Ni3 0.5000 0.5000 0.0000  2 Au 2.29
Au1 0.5000 0.5000 0.5000  6 Ni 2.29